Entry 1:
First-principles (GGA-PBE) data for a geometry-optimized CaTh4Pt5 structure, as listed in Alexandria via LeMat-Bulk.

Unit cell a=4.162 b=5.929 c=11.134 alpha=105.44 beta=100.77 gamma=90.00
Sites, in units of the cell vectors:
Th  0.599  0.599  0.197
Th  0.801  0.801  0.601
Th  0.401  0.401  0.803
Pt  0.604  0.104  0.209
Pt  0.396  0.896  0.791
Ca  0.000  0.000  0.000
Pt  0.801  0.301  0.602
Th  0.199  0.199  0.399
Pt  0.199  0.699  0.398
Pt  0.000  0.500  0.000

Values from the calculation:
- Uncorrected energy: -7.344 eV per atom
- Energy of formation from the pure elements: -1155 meV/atom

Entry 2:
First-principles (GGA-PBE) data for a geometry-optimized Zn2TeP structure, as listed in Alexandria via LeMat-Bulk.

Unit cell a=6.670 b=6.670 c=6.670 alpha=149.47 beta=147.54 gamma=45.16
Sites, in units of the cell vectors:
Zn  0.322  0.822  0.500
Te  0.701  0.201  0.500
Zn  0.012  0.012  0.000
P  0.464  0.464  0.000

Values from the calculation:
- Uncorrected energy: -2.617 eV per atom

Entry 3:
First-principles (GGA-PBE) data for a geometry-optimized LiAl4Cu2 structure, as listed in Alexandria via LeMat-Bulk.

Unit cell a=5.275 b=5.275 c=5.021 alpha=61.92 beta=61.92 gamma=77.06
Sites, in units of the cell vectors:
Al  0.404  0.000  0.298
Al  0.000  0.596  0.702
Li  0.000  0.000  0.000
Al  0.596  0.000  0.702
Al  0.000  0.404  0.298
Cu  0.500  0.500  0.250
Cu  0.500  0.500  0.750

Values from the calculation:
- Uncorrected energy: -3.664 eV per atom
- Energy of formation from the pure elements: -82 meV/atom

Entry 4:
First-principles (GGA-PBE) data for a geometry-optimized BeTePt structure, as listed in Alexandria via LeMat-Bulk.

Unit cell a=7.905 b=3.959 c=7.980 alpha=90.00 beta=90.00 gamma=90.00
Sites, in units of the cell vectors:
Be  0.912  0.250  0.497
Be  0.088  0.750  0.503
Pt  0.827  0.750  0.612
Te  0.865  0.250  0.844
Te  0.365  0.250  0.656
Te  0.135  0.750  0.156
Pt  0.327  0.750  0.888
Te  0.635  0.750  0.344
Be  0.412  0.250  0.003
Pt  0.173  0.250  0.388
Pt  0.673  0.250  0.112
Be  0.588  0.750  0.997

Values from the calculation:
- Uncorrected energy: -4.551 eV per atom